1.
Here is BaTl2Zn after structural relaxation from the Alexandria database. Energies are from PBE.

```
data_BaTl2Zn
_chemical_formula_sum 'Ba1 Tl2 Zn1'
_cell_length_a 4.2013
_cell_length_b 4.7462
_cell_length_c 6.6916
_cell_angle_alpha 90.00
_cell_angle_beta 104.31
_cell_angle_gamma 90.00
_symmetry_space_group_name_H-M 'P 1 2/m 1'
_symmetry_Int_Tables_number 10
loop_
_symmetry_equiv_pos_as_xyz
'x,y,z'
'-x,-y,-z'
'-x,y,-z'
'x,-y,z'
loop_
_atom_site_label
_atom_site_fract_x
_atom_site_fract_y
_atom_site_fract_z
_atom_site_occupancy
Ba1 0.0000 0.0000 0.0000 1
Tl1 0.3263 0.5000 0.6949 1
Zn1 0.5000 0.0000 0.5000 1
```

Calculated values
**E**: -2.148 eV/atom
**DOS at the Fermi energy**: 1.84 states/eV/f.u.
**Size of the total moment**: 0.00 μB per formula unit



2.
Here is K2SiAu after structural relaxation from the Alexandria database. Energies are from PBE.

```
data_K2SiAu
_chemical_formula_sum 'K8 Si4 Au4'
_cell_length_a 7.4762
_cell_length_b 7.4762
_cell_length_c 7.4762
_cell_angle_alpha 90.00
_cell_angle_beta 90.00
_cell_angle_gamma 90.00
_symmetry_space_group_name_H-M 'F -4 3 m'
_symmetry_Int_Tables_number 216
_symmetry_space_group_name_Hall 'F -4 2 3'
loop_
_atom_site_label
_atom_site_fract_x
_atom_site_fract_y
_atom_site_fract_z
_atom_site_occupancy
K1 0.0000 0.0000 0.0000 1
K2 0.2500 0.2500 0.2500 1
Si1 0.0000 0.0000 0.5000 1
Au1 0.2500 0.2500 0.7500 1
```

Calculated values
**E**: -2.479 eV/atom
**DOS at the Fermi energy**: 4.56 states/eV/f.u.
**Size of the total moment**: 0.42 μB per formula unit



3.
Here is BaCaSn2Au4 after structural relaxation from the Alexandria database. Energies are from PBE.

```
data_BaCaSn2Au4
_chemical_formula_sum 'Ba3 Ca3 Sn6 Au12'
_cell_length_a 4.9394
_cell_length_b 4.9394
_cell_length_c 28.7446
_cell_angle_alpha 90.00
_cell_angle_beta 90.00
_cell_angle_gamma 120.00
_symmetry_space_group_name_H-M 'R -3 m'
_symmetry_Int_Tables_number 166
_symmetry_space_group_name_Hall '-R 3 2"'
loop_
_atom_site_label
_atom_site_fract_x
_atom_site_fract_y
_atom_site_fract_z
_atom_site_occupancy
Ba1 0.0000 0.0000 0.0000 1
Ca1 0.0000 0.0000 0.5000 1
Sn1 0.0000 0.0000 0.2394 1
Au1 0.0000 0.0000 0.1314 1
Au2 0.0000 0.0000 0.3978 1
```

Calculated values
**E**: -3.691 eV/atom
**DOS at the Fermi energy**: 3.76 states/eV/f.u.
**Size of the total moment**: 0.00 μB per formula unit



4.
Here is MgTlZn2 after structural relaxation from the Alexandria database. Energies are from PBE.

```
data_MgTlZn2
_chemical_formula_sum 'Mg4 Tl4 Zn8'
_cell_length_a 6.9574
_cell_length_b 6.9574
_cell_length_c 6.9574
_cell_angle_alpha 90.00
_cell_angle_beta 90.00
_cell_angle_gamma 90.00
_symmetry_space_group_name_H-M 'F m -3 m'
_symmetry_Int_Tables_number 225
_symmetry_space_group_name_Hall '-F 4 2 3'
loop_
_atom_site_label
_atom_site_fract_x
_atom_site_fract_y
_atom_site_fract_z
_atom_site_occupancy
Mg1 0.0000 0.0000 0.0000 1
Tl1 0.0000 0.0000 0.5000 1
Zn1 0.2500 0.2500 0.2500 1
```

Calculated values
**E**: -1.491 eV/atom
**DOS at the Fermi energy**: 2.04 states/eV/f.u.
**Size of the total moment**: 0.00 μB per formula unit
**E above lowest polymorph**: 8.0 kJ per mole of atoms



5.
Here is Li2PrNdHg4 after structural relaxation from the Alexandria database. Energies are from PBE.

```
data_Li2PrNdHg4
_chemical_formula_sum 'Li6 Pr3 Nd3 Hg12'
_cell_length_a 5.1432
_cell_length_b 5.1432
_cell_length_c 25.4519
_cell_angle_alpha 90.00
_cell_angle_beta 90.00
_cell_angle_gamma 120.00
_symmetry_space_group_name_H-M 'R -3 m'
_symmetry_Int_Tables_number 166
_symmetry_space_group_name_Hall '-R 3 2"'
loop_
_atom_site_label
_atom_site_fract_x
_atom_site_fract_y
_atom_site_fract_z
_atom_site_occupancy
Li1 0.0000 0.0000 0.2505 1
Pr1 0.0000 0.0000 0.5000 1
Nd1 0.0000 0.0000 0.0000 1
Hg1 0.0000 0.0000 0.1235 1
Hg2 0.0000 0.0000 0.3753 1
```

Calculated values
**E**: -2.276 eV/atom
**DOS at the Fermi energy**: 5.77 states/eV/f.u.
**Size of the total moment**: 0.00 μB per formula unit



6.
Here is SiAgCl after structural relaxation from the Alexandria database. Energies are from PBE.

```
data_SiAgCl
_chemical_formula_sum 'Si4 Ag4 Cl4'
_cell_length_a 3.7512
_cell_length_b 5.5055
_cell_length_c 11.7039
_cell_angle_alpha 90.00
_cell_angle_beta 90.00
_cell_angle_gamma 90.00
_symmetry_space_group_name_H-M 'F m m 2'
_symmetry_Int_Tables_number 42
_symmetry_space_group_name_Hall 'F 2 -2'
loop_
_atom_site_label
_atom_site_fract_x
_atom_site_fract_y
_atom_site_fract_z
_atom_site_occupancy
Si1 0.0000 0.0000 0.0000 1
Ag1 0.0000 0.0000 0.3513 1
Cl1 0.0000 0.0000 0.6892 1
```

Calculated values
**E**: -3.122 eV/atom
**DOS at the Fermi energy**: 1.37 states/eV/f.u.
**Size of the total moment**: 0.00 μB per formula unit
**E above lowest polymorph**: 35.1 kJ per mole of atoms



7.
Here is Ba2NiAg after structural relaxation from the Alexandria database. Energies are from PBE.

```
data_Ba2NiAg
_chemical_formula_sum 'Ba6 Ni3 Ag3'
_cell_length_a 4.5670
_cell_length_b 4.5670
_cell_length_c 24.1179
_cell_angle_alpha 90.00
_cell_angle_beta 90.00
_cell_angle_gamma 120.00
_symmetry_space_group_name_H-M 'R -3 m'
_symmetry_Int_Tables_number 166
_symmetry_space_group_name_Hall '-R 3 2"'
loop_
_atom_site_label
_atom_site_fract_x
_atom_site_fract_y
_atom_site_fract_z
_atom_site_occupancy
Ba1 0.0000 0.0000 0.2392 1
Ni1 0.0000 0.0000 0.5000 1
Ag1 0.0000 0.0000 0.0000 1
```

Calculated values
**E**: -3.075 eV/atom
**DOS at the Fermi energy**: 2.41 states/eV/f.u.
**Size of the total moment**: 0.00 μB per formula unit
**E above lowest polymorph**: 9.2 kJ per mole of atoms



8.
Here is Hf12Co6Ni after structural relaxation from the Alexandria database. Energies are from PBE.

```
data_Hf12Co6Ni
_chemical_formula_sum 'Hf36 Co18 Ni3'
_cell_length_a 11.2879
_cell_length_b 11.2879
_cell_length_c 10.3246
_cell_angle_alpha 90.00
_cell_angle_beta 90.00
_cell_angle_gamma 120.00
_symmetry_space_group_name_H-M 'R -3'
_symmetry_Int_Tables_number 148
_symmetry_space_group_name_Hall '-R 3'
loop_
_atom_site_label
_atom_site_fract_x
_atom_site_fract_y
_atom_site_fract_z
_atom_site_occupancy
Hf1 0.0298 0.2172 0.3932 1
Hf2 0.0382 0.2116 0.8877 1
Co1 0.0471 0.2621 0.6495 1
Ni1 0.0000 0.0000 0.0000 1
```

Calculated values
**E**: -8.893 eV/atom
**DOS at the Fermi energy**: 19.03 states/eV/f.u.
**Size of the total moment**: 0.00 μB per formula unit